Li2GaAg2 | meta-GGA SCAN | single point on PBEsol structure

Cell lengths 3.5043, 3.5043, 7.3046 Å; angles 103.88, 103.88, 90.00 degrees
Closest atoms and distances in Å follow each position.
Atoms (fractional coordinates):
1 Ga 0.0000 0.0000 0.0000  8 Ag 2.84
2 Li 0.7500 0.2500 0.5000  4 Li 2.48, 4 Ag 2.70
3 Li 0.2500 0.7500 0.5000  4 Li 2.48, 4 Ag 2.70
4 Ag 0.6006 0.6006 0.2013  4 Li 2.70, 1 Ag 2.77, 4 Ga 2.84
5 Ag 0.3994 0.3994 0.7987  4 Li 2.70, 1 Ag 2.77, 4 Ga 2.84

Results
The space group is I4/mmm. As for the formation energy: 0.10 eV/atom. As for the total magnetic moment: 0.00 μB per formula unit. For the calculated total energy, the calculation gives -83.36 eV for the cell shown. Its crystal system is tetragonal.

---

LiGa2AgPt | meta-GGA SCAN | single point on PBEsol structure

Cell lengths 4.7178, 4.7178, 5.1075 Å; angles 90.00, 90.00, 90.00 degrees
Closest atoms and distances in Å follow each position.
Atoms (fractional coordinates):
1 Pt 0.0000 0.0000 0.5000  2 Ag 2.55
2 Ga 0.0000 0.5000 0.0000  2 Ag 2.36
3 Ga 0.5000 0.0000 0.0000  2 Ag 2.36
4 Li 0.5000 0.5000 0.5000  4 Pt 3.34, 8 Ga 3.48
5 Ag 0.0000 0.0000 0.0000  4 Ga 2.36, 2 Pt 2.55

Results
The space group is P4/mmm. As for the formation energy: 0.47 eV/atom. As for the total magnetic moment: 0.00 μB per formula unit. For the calculated total energy, the calculation gives -134.28 eV for the cell shown. Its crystal system is tetragonal.

---

LuGaAg | meta-GGA SCAN | single point on PBEsol structure

Cell lengths 4.4196, 5.5744, 5.6083 Å; angles 75.36, 66.79, 66.65 degrees
Closest atoms and distances in Å follow each position.
Atoms (fractional coordinates):
1 Lu 0.5343 0.2211 0.7103  6 Ag 3.04-3.16, 6 Ga 3.05-3.19, 1 Lu 3.38
2 Lu 0.4657 0.7789 0.2897  6 Ag 3.04-3.16, 6 Ga 3.05-3.19, 1 Lu 3.38
3 Ag 0.1727 0.3731 0.2815  3 Ga 2.56-2.84, 1 Ag 2.73
4 Ag 0.8273 0.6269 0.7185  3 Ga 2.56-2.84, 1 Ag 2.73
5 Ga 0.8404 0.1991 0.1201  1 Ga 2.50, 2 Ag 2.56
6 Ga 0.1596 0.8009 0.8799  1 Ga 2.50, 2 Ag 2.56

Results
The space group is C2/m. As for the formation energy: -0.55 eV/atom. As for the total magnetic moment: 0.00 μB per formula unit. For the calculated total energy, the calculation gives -209.41 eV for the cell shown. Its crystal system is monoclinic.